[1]
Hf3MgTc2 after structural relaxation. Source: the Alexandria database, functional PBE.

a b c (Å): 3.3066 3.3066 10.5314
angles (deg): 90.00 90.00 90.00
Atoms (fractional coordinates):
Hf  0.0000  0.0000  0.0000
Hf  0.0000  0.0000  0.2985
Hf  0.0000  0.0000  0.7015
Mg  0.5000  0.5000  0.5000
Tc  0.5000  0.5000  0.1609
Tc  0.5000  0.5000  0.8391

Calculated values
The value obtained for the raw total energy is -9.0337 eV per atom. The symmetry is P4/mmm, No. 123.

=====

[2]
HfMgTiTc after structural relaxation. Source: the Alexandria database, functional PBE.

a b c (Å): 4.6431 4.6431 4.6431
angles (deg): 60.00 60.00 60.00
Atoms (fractional coordinates):
Hf  0.0000  0.0000  0.0000
Mg  0.7500  0.7500  0.7500
Ti  0.5000  0.5000  0.5000
Tc  0.2500  0.2500  0.2500

Calculated values
The value obtained for the raw total energy is -7.5651 eV per atom. The symmetry is F-43m, No. 216.

=====

[3]
Hf2Mg2Te after structural relaxation. Source: the Alexandria database, functional PBE.

a b c (Å): 7.2682 7.2682 4.6362
angles (deg): 90.00 90.00 90.00
Atoms (fractional coordinates):
Hf  0.1467  0.3533  0.0000
Hf  0.3533  0.8533  0.0000
Hf  0.6467  0.1467  0.0000
Hf  0.8533  0.6467  0.0000
Mg  0.1461  0.6461  0.5000
Mg  0.3539  0.1461  0.5000
Mg  0.6461  0.8539  0.5000
Mg  0.8539  0.3539  0.5000
Te  0.0000  0.0000  0.0000
Te  0.5000  0.5000  0.0000

Calculated values
For the uncorrected formation energy, the calculation gives -0.032 eV per atom. The symmetry is P4/mbm, No. 127.

=====

[4]
Hf2MgTe after structural relaxation. Source: the Alexandria database, functional PBE.

a b c (Å): 4.9854 4.9854 4.9854
angles (deg): 60.00 60.00 60.00
Atoms (fractional coordinates):
Hf  0.2500  0.2500  0.2500
Hf  0.7500  0.7500  0.7500
Mg  0.0000  0.0000  0.0000
Te  0.5000  0.5000  0.5000

Calculated values
For the uncorrected formation energy, the calculation gives 0.100 eV per atom. The symmetry is Fm-3m, No. 225.

=====

[5]
Hf2MgTe after structural relaxation. Source: the Alexandria database, functional PBE.

a b c (Å): 11.2245 11.2245 11.2245
angles (deg): 158.45 158.45 30.65
Atoms (fractional coordinates):
Hf  0.1208  0.6250  0.9958
Hf  0.3750  0.3708  0.4958
Hf  0.6292  0.1250  0.0042
Hf  0.8750  0.8792  0.5042
Mg  0.2500  0.7500  0.5000
Mg  0.5000  0.5000  0.0000
Te  0.0000  0.0000  0.0000
Te  0.7500  0.2500  0.5000

Calculated values
For the uncorrected formation energy, the calculation gives 0.185 eV per atom. The symmetry is I-42d, No. 122.

=====

[6]
HfMg2VTe after structural relaxation. Source: the Alexandria database, functional PBE.

a b c (Å): 5.1361 5.1361 4.8875
angles (deg): 90.00 90.00 90.00
Atoms (fractional coordinates):
Hf  0.0000  0.0000  0.0000
Mg  0.0000  0.5000  0.5000
Mg  0.5000  0.0000  0.5000
V  0.5000  0.5000  0.0000
Te  0.5000  0.5000  0.5000

Calculated values
For the uncorrected formation energy, the calculation gives 1.047 eV per atom. The symmetry is P4/mmm, No. 123.

=====

[7]
HfMgZnTe2 after structural relaxation. Source: the Alexandria database, functional PBE.

a b c (Å): 5.3197 5.3197 5.0481
angles (deg): 90.00 90.00 90.00
Atoms (fractional coordinates):
Hf  0.0000  0.0000  0.0000
Mg  0.5000  0.5000  0.0000
Zn  0.0000  0.0000  0.5000
Te  0.0000  0.5000  0.5000
Te  0.5000  0.0000  0.5000

Calculated values
For the uncorrected formation energy, the calculation gives 0.548 eV per atom. The symmetry is P4/mmm, No. 123.

=====

[8]
HfThMg2 after structural relaxation. Source: the Alexandria database, functional PBE.

a b c (Å): 5.1899 5.1899 5.1899
angles (deg): 60.00 60.00 60.00
Atoms (fractional coordinates):
Hf  0.0000  0.0000  0.0000
Th  0.5000  0.5000  0.5000
Mg  0.2500  0.2500  0.2500
Mg  0.7500  0.7500  0.7500

Calculated values
The value obtained for the raw total energy is -4.9580 eV per atom. The symmetry is Fm-3m, No. 225.

=====

[9]
HfThMg2 after structural relaxation. Source: the Alexandria database, functional PBE.

a b c (Å): 11.4610 11.4610 11.4610
angles (deg): 16.18 16.18 16.18
Atoms (fractional coordinates):
Hf  0.0000  0.0000  0.0000
Th  0.5000  0.5000  0.5000
Mg  0.2557  0.2557  0.2557
Mg  0.7443  0.7443  0.7443

Calculated values
The value obtained for the raw total energy is -4.9648 eV per atom. The symmetry is R-3m, No. 166.

=====

[10]
HfThMg2 after structural relaxation. Source: the Alexandria database, functional PBE.

a b c (Å): 3.5921 3.5921 7.6859
angles (deg): 90.00 90.00 90.00
Atoms (fractional coordinates):
Hf  0.0000  0.0000  0.0000
Th  0.0000  0.0000  0.5000
Mg  0.5000  0.5000  0.2176
Mg  0.5000  0.5000  0.7824

Calculated values
The value obtained for the raw total energy is -4.9543 eV per atom. The symmetry is P4/mmm, No. 123.

=====

[11]
HfThMgTi after structural relaxation. Source: the Alexandria database, functional PBE.

a b c (Å): 5.0587 5.0587 5.0587
angles (deg): 60.00 60.00 60.00
Atoms (fractional coordinates):
Hf  0.0000  0.0000  0.0000
Th  0.5000  0.5000  0.5000
Mg  0.7500  0.7500  0.7500
Ti  0.2500  0.2500  0.2500

Calculated values
The value obtained for the raw total energy is -6.5601 eV per atom. The symmetry is F-43m, No. 216.

=====

[12]
TmHfThMg after structural relaxation. Source: the Alexandria database, functional PBE.

a b c (Å): 5.3098 5.3098 5.3098
angles (deg): 60.00 60.00 60.00
Atoms (fractional coordinates):
Tm  0.0000  0.0000  0.0000
Hf  0.7500  0.7500  0.7500
Th  0.5000  0.5000  0.5000
Mg  0.2500  0.2500  0.2500

Calculated values
The value obtained for the raw total energy is -5.7216 eV per atom. The symmetry is F-43m, No. 216.

=====

no.,magnetic moment (μB/f.u.)
1,0.00
2,0.00
3,0.00
4,0.00
5,0.00
6,0.00
7,0.32
8,0.00
9,0.00
10,0.00
11,0.00
12,0.00